Record 1
First-principles (PBE) data for YZn4Ag8 after structural relaxation, as listed in OQMD.

a b c (Å): 7.147 7.147 7.147
angles (deg): 97.73 97.73 136.97
Fractional positions:
1 Ag 0.715 0.500 0.215
2 Ag 0.500 0.715 0.215
3 Ag 0.346 0.000 0.346
4 Ag 0.000 0.346 0.346
5 Ag 0.654 0.000 0.654
6 Ag 0.000 0.654 0.654
7 Ag 0.500 0.285 0.785
8 Ag 0.285 0.500 0.785
9 Y 0.000 0.000 0.000
10 Zn 0.500 0.000 0.000
11 Zn 0.000 0.500 0.000
12 Zn 0.000 0.000 0.500
13 Zn 0.500 0.500 0.500

- Formation energy: -3.53 kcal/mol of atoms
- Magnetization: 0.0 Bohr magnetons per cell

***

Record 2
First-principles (PBE) data for Hf2Al2CuNi3 after structural relaxation, as listed in OQMD.

a b c (Å): 4.123 4.123 7.972
angles (deg): 90.00 90.00 120.00
Fractional positions:
1 Al 0.333 0.667 0.501
2 Al 0.333 0.667 0.989
3 Cu 0.000 0.000 0.086
4 Hf 0.667 0.333 0.258
5 Hf 0.000 0.000 0.746
6 Ni 0.000 0.000 0.414
7 Ni 0.667 0.333 0.586
8 Ni 0.667 0.333 0.921

- Total energy: -6.554 eV per atom
- Magnetization: 0.0 Bohr magnetons per cell

***

Record 3
First-principles (PBE) data for PmHfSc after structural relaxation, as listed in OQMD.

a b c (Å): 5.039 5.039 5.039
angles (deg): 60.00 60.00 60.00
Fractional positions:
1 Hf 0.250 0.250 0.250
2 Pm 0.000 0.000 0.000
3 Sc 0.750 0.750 0.750

- Formation energy: 24.84 kcal/mol of atoms
- Magnetization: 0.0 Bohr magnetons per cell